A geometry-optimized LaCuNiOs2 structure. Source: Alexandria via LeMat-Bulk, functional PBE-GGA.

a b c (Å): 4.8166 4.8828 4.8166
angles (deg): 90.00 90.00 90.00
Closest atoms and distances in Å follow each position.
Fractional positions:
La1 0.0000 0.0000 0.0000  4 Os 2.41, 2 Cu 2.44
Ni1 0.5000 0.5000 0.5000  4 Cu 3.41, 8 Os 3.43
Os1 0.5000 0.0000 0.0000  2 La 2.41
Os2 0.0000 0.0000 0.5000  2 La 2.41
Cu1 0.0000 0.5000 0.0000  2 La 2.44

Properties
Crystal system: tetragonal
Energy relative to the elements: 2603 meV/atom
D(E_F): 9.52 states/eV/f.u.
Symmetry: P4/mmm (123)
Final energy: -4.850 eV/atom